Record 1
Computed, not measured: P2AuCl after structural relaxation at the GGA-PBE level of DFT.

abc: 3.4564 3.4576 6.7494
angles: 90.00 90.00 90.00
Closest atoms and distances in Å follow each position.
Sites, in units of the cell vectors:
Au1 0.0000 0.0000 0.4776  1 P 2.31
Cl1 0.5000 0.5000 0.7824  1 P 2.17
P1 0.0000 0.0000 0.1360  1 Au 2.31, 4 P 2.45
P2 0.5000 0.5000 0.1040  1 Cl 2.17

## Properties
The volume is 20.16 Å³ per atom. Its formation energy from raw total energies is 136.2 meV per atom. The space-group type is P4mm. Its crystal system is tetragonal. Its density of states at the Fermi level is 0.1907 states/eV per atom.


Record 2
Computed, not measured: HfIn2SCl after structural relaxation at the GGA-PBE level of DFT.

abc: 5.7619 4.7510 5.7619
angles: 90.00 90.00 90.00
Closest atoms and distances in Å follow each position.
Sites, in units of the cell vectors:
S1 0.5000 0.5000 0.5000  8 In 3.73, 4 Cl 4.07
Cl1 0.0000 0.5000 0.0000  2 Hf 2.38
Hf1 0.0000 0.0000 0.0000  2 Cl 2.38
In1 0.0000 0.0000 0.5000  2 Hf 2.88
In2 0.5000 0.0000 0.0000  2 Hf 2.88

## Properties
The volume is 31.55 Å³ per atom. Its formation energy from raw total energies is 177.5 meV per atom. The space-group type is P4/mmm. Its crystal system is tetragonal. Its density of states at the Fermi level is 0.9141 states/eV per atom.


Record 3
Computed, not measured: Sm3Sc4In4 after structural relaxation at the GGA-PBE level of DFT.

abc: 4.9428 7.4455 9.2587
angles: 113.71 105.48 90.00
Closest atoms and distances in Å follow each position.
Sites, in units of the cell vectors:
Sm1 0.1162 0.1162 0.2325  6 Sc 3.42-3.71, 4 In 3.44, 1 Sm 3.77
Sm2 0.8838 0.8838 0.7675  6 Sc 3.42-3.71, 4 In 3.44, 1 Sm 3.77
Sm3 0.0000 0.5000 0.0000  6 In 3.26-3.34
Sc1 0.3241 0.1148 0.6483  4 In 2.93-2.95, 1 Sc 3.12
Sc2 0.6759 0.4665 0.3517  4 In 2.93-2.95, 1 Sc 3.12
Sc3 0.6759 0.8852 0.3517  4 In 2.93-2.95, 1 Sc 3.12
Sc4 0.3241 0.5335 0.6483  4 In 2.93-2.95, 1 Sc 3.12
In1 0.2007 0.7007 0.4014  6 Sc 2.95, 1 Sm 3.26
In2 0.7993 0.2993 0.5986  6 Sc 2.95, 1 Sm 3.26
In3 0.5000 0.8008 0.0000  2 Sc 2.93, 1 In 2.97
In4 0.5000 0.1992 0.0000  2 Sc 2.93, 1 In 2.97

## Properties
The energy relative to the elements comes out at -29.6 kJ/mol of atoms. The volume is 27.13 Å³ per atom. The space-group type is Immm. Its crystal system is orthorhombic. Its density of states at the Fermi level is 0.9607 states/eV per atom.


Record 4
Computed, not measured: DyHo4Ag after structural relaxation at the GGA-PBE level of DFT.

abc: 5.4005 6.3902 10.7081
angles: 90.00 104.61 90.00
Closest atoms and distances in Å follow each position.
Sites, in units of the cell vectors:
Dy1 0.8650 0.7142 0.7301  2 Ag 3.19, 5 Ho 3.47-3.56
Dy2 0.1350 0.2142 0.2699  2 Ag 3.19, 5 Ho 3.47-3.56
Ho1 0.9343 0.2107 0.8686  2 Ag 3.26, 2 Dy 3.48-3.52, 4 Ho 3.49-3.58
Ho2 0.0657 0.7107 0.1314  2 Ag 3.26, 2 Dy 3.48-3.52, 4 Ho 3.49-3.58
Ho3 0.4650 0.8782 0.9301  2 Ag 2.92-2.97, 1 Ho 3.19
Ho4 0.5350 0.3782 0.0699  2 Ag 2.92-2.97, 1 Ho 3.19
Ho5 0.6768 0.5740 0.3536  1 Ag 2.95, 3 Ho 3.17-3.19
Ho6 0.3232 0.0740 0.6464  1 Ag 2.95, 3 Ho 3.17-3.19
Ho7 0.7436 0.0876 0.4871  1 Ag 3.01, 2 Ho 3.17
Ho8 0.2564 0.5876 0.5129  1 Ag 3.01, 2 Ho 3.17
Ag1 0.6030 0.9688 0.2060  6 Ho 2.92-3.26, 2 Dy 3.19
Ag2 0.3970 0.4688 0.7940  6 Ho 2.92-3.26, 2 Dy 3.19

## Properties
The energy relative to the elements comes out at 4.5 kJ/mol of atoms. The volume is 29.80 Å³ per atom. The space-group type is Cmc2_1. Its crystal system is orthorhombic. Its density of states at the Fermi level is 1.3756 states/eV per atom.


Record 5
Computed, not measured: Sr2Y3Tl4 after structural relaxation at the GGA-PBE level of DFT.

abc: 7.3761 9.0561 9.5862
angles: 90.00 112.63 90.00
Closest atoms and distances in Å follow each position.
Sites, in units of the cell vectors:
Sr1 0.1073 0.5829 0.2146  8 Tl 3.62-3.95, 2 Y 3.87
Sr2 0.8927 0.4171 0.7854  8 Tl 3.62-3.95, 2 Y 3.87
Sr3 0.3927 0.0829 0.7854  8 Tl 3.62-3.95, 2 Y 3.87
Sr4 0.6073 0.9171 0.2146  8 Tl 3.62-3.95, 2 Y 3.87
Y1 0.0000 0.0000 0.0000  6 Tl 3.03-3.26
Y2 0.5000 0.5000 0.0000  6 Tl 3.03-3.26
Y3 0.5298 0.7500 0.5596  5 Tl 3.07-3.24
Y4 0.9702 0.2500 0.4404  5 Tl 3.07-3.24
Y5 0.4702 0.2500 0.4404  5 Tl 3.07-3.24
Y6 0.0298 0.7500 0.5596  5 Tl 3.07-3.24
Tl1 0.7033 0.7500 0.9067  3 Y 3.03-3.07
Tl2 0.7967 0.2500 0.0933  3 Y 3.03-3.07
Tl3 0.2967 0.2500 0.0933  3 Y 3.03-3.07
Tl4 0.2033 0.7500 0.9067  3 Y 3.03-3.07
Tl5 0.1831 0.9643 0.3662  5 Y 3.18-3.26
Tl6 0.8169 0.0357 0.6338  5 Y 3.18-3.26
Tl7 0.3169 0.4643 0.6338  5 Y 3.18-3.26
Tl8 0.6831 0.5357 0.3662  5 Y 3.18-3.26

## Properties
The energy relative to the elements comes out at -25.3 kJ/mol of atoms. The volume is 32.84 Å³ per atom. The space-group type is Cmce. Its crystal system is orthorhombic. Its density of states at the Fermi level is 0.9875 states/eV per atom.


The electronic total energy results, record by record, are as follows: -3.8497 -4.1034 -4.8923 -4.2474 -3.8426 eV/atom.